VASP calculation (PBE) on a relaxed Sc4Sn2C crystal.

```
Sc4Sn2C
1.0
-2.2324 2.2324 7.4986
2.2324 -2.2324 7.4986
2.2324 2.2324 -7.4986
Sc Sn C
4 2 1
Cartesian
2.2324 0.0000 0.0000 Sc
0.0000 0.0000 2.3133 Sc
0.0000 2.2324 0.0000 Sc
0.0000 0.0000 12.6839 Sc
0.0000 0.0000 5.3511 Sn
0.0000 0.0000 9.6461 Sn
0.0000 0.0000 0.0000 C
```

* distance to the lowest polymorph of the same formula: 0.0 kJ/mol of atoms
* crystal system: tetragonal
* electronic total energy: -47.7 eV per formula unit
* SG: No. 139
* energy of formation from the pure elements: -0.741 eV per atom
* D(E_F): 0.401 states/eV/f.u.